[1]
A plane-wave DFT calculation with PBE was carried out for KLi4Cr after structural relaxation.

Computed properties:
Its energy of formation from the pure elements is 0.415 eV/atom. The calculation puts the density of states at the Fermi level at 0.513 states/eV/atom. For the final energy, the calculation gives -15.89 eV/cell. As for the symmetry: F-43m (216). As for the total moment: 4.8 Bohr magnetons per cell.

Lattice parameters (Å, degrees): 5.9579 5.9579 5.9579 60.00 60.00 60.00
Closest atoms and distances in Å follow each position.
Fractional coordinates of all 6 atoms:
Li 0.8660 0.3780 0.3780  6 Li 2.91-3.05
Cr 0.7500 0.7500 0.7500  12 Li 3.49, 4 K 3.65
Li 0.3780 0.8660 0.3780  6 Li 2.91-3.05
Li 0.3780 0.3780 0.8660  6 Li 2.91-3.05
Li 0.3780 0.3780 0.3780  6 Li 2.91-3.05
K 0.0000 0.0000 0.0000  12 Li 3.50, 4 Cr 3.65

[2]
A plane-wave DFT calculation with PBE was carried out for DyTmCoCu after structural relaxation.

Computed properties:
Its energy of formation from the pure elements is -0.239 eV/atom. The calculation puts the density of states at the Fermi level at 0.801 states/eV/atom. For the final energy, the calculation gives -21.23 eV/cell. As for the symmetry: Amm2 (38). As for the total moment: 0.0 Bohr magnetons per cell. The value obtained for the energy above the most stable polymorph in this dataset is 0.000 eV per formula unit.

Lattice parameters (Å, degrees): 3.7731 4.1971 5.4028 90.00 110.44 90.00
Closest atoms and distances in Å follow each position.
Fractional coordinates of all 4 atoms:
Tm 0.8612 0.5000 0.7224  3 Cu 2.82-2.97, 4 Co 2.90
Dy 0.1432 0.0000 0.2864  3 Co 2.88, 4 Cu 2.92
Co 0.4277 0.0000 0.8554  2 Cu 2.53
Cu 0.5680 0.5000 0.1359  2 Co 2.53, 2 Tm 2.82

[3]
A plane-wave DFT calculation with PBE was carried out for CsLi2I3 after structural relaxation.

Computed properties:
The raw formation energy is -767 kJ/mol of formula units. The calculation puts the density of states at the Fermi level at 0.000 states/eV/atom. For the final energy, the calculation gives -34.57 eV/cell. As for the symmetry: Cmcm (63). As for the total moment: 0.0 Bohr magnetons per cell. The value obtained for the energy above the most stable polymorph in this dataset is 0.000 eV per formula unit.

Lattice parameters (Å, degrees): 6.5336 8.8313 8.8313 103.36 90.00 90.00
Closest atoms and distances in Å follow each position.
Fractional coordinates of all 12 atoms:
I 0.2500 0.8293 0.5939  2 Li 2.71
Li 0.5000 0.1585 0.1585  4 I 2.71-2.81
Li 0.0000 0.1585 0.1585  4 I 2.71-2.81
Li 0.0000 0.8415 0.8415  4 I 2.71-2.81
I 0.2500 0.8926 0.1074  4 Li 2.81
I 0.7500 0.1707 0.4061  2 Li 2.71
I 0.7500 0.1074 0.8926  4 Li 2.81
Cs 0.2500 0.3137 0.6863  8 I 4.12-4.34
Cs 0.7500 0.6863 0.3137  8 I 4.12-4.34
I 0.7500 0.5939 0.8293  2 Li 2.71
I 0.2500 0.4061 0.1707  2 Li 2.71
Li 0.5000 0.8415 0.8415  4 I 2.71-2.81